Entry 1:
Here is an optimized crystal structure of LiTiTe2 from Alexandria via LeMat-Bulk. Energies are from PBE.

Values from the calculation:
The uncorrected formation energy is -0.608 eV/atom. Its space group is No. 122.

Unit cell a=6.454 b=6.454 c=7.682 alpha=65.16 beta=65.16 gamma=90.00
Last column: magnetic moment on the atom in μB.
Atoms (fractional coordinates):
Te1 0.641 0.125 0.250  -0.06
Te2 0.109 0.625 0.250  -0.05
Te3 0.375 0.359 0.750  -0.06
Te4 0.875 0.891 0.750  -0.06
Li1 0.500 0.500 0.000  0.00
Li2 0.250 0.750 0.500  0.00
Ti1 0.000 0.000 0.000  0.98
Ti2 0.750 0.250 0.500  0.98


Entry 2:
Here is an optimized crystal structure of GeP from Alexandria via LeMat-Bulk. Energies are from PBE.

Values from the calculation:
Its formation energy is 4.0 kcal/mol of atoms. Its space group is No. 187.

Unit cell a=4.364 b=4.364 c=2.521 alpha=90.00 beta=90.00 gamma=120.00
Atoms (fractional coordinates):
Ge1 0.667 0.333 0.000
P1 0.333 0.667 0.000


Entry 3:
Here is an optimized crystal structure of CsHfSe2S from Alexandria via LeMat-Bulk. Energies are from PBE.

Values from the calculation:
The uncorrected formation energy is -1.134 eV/atom. Its space group is No. 123.

Unit cell a=5.320 b=5.320 c=5.065 alpha=90.00 beta=90.00 gamma=90.00
Atoms (fractional coordinates):
Cs1 0.500 0.500 0.500
S1 0.000 0.000 0.500
Hf1 0.000 0.000 0.000
Se1 0.000 0.500 0.000
Se2 0.500 0.000 0.000


Entry 4:
Here is an optimized crystal structure of Pu2Al4GaAu3 from Alexandria via LeMat-Bulk. Energies are from PBE.

Values from the calculation:
Its formation energy is -10.7 kcal/mol of atoms. Its space group is No. 115.

Unit cell a=4.321 b=4.321 c=10.764 alpha=90.00 beta=90.00 gamma=90.00
Last column: magnetic moment on the atom in μB.
Atoms (fractional coordinates):
Pu1 0.500 0.000 0.254  5.28
Pu2 0.000 0.500 0.746  5.28
Al1 0.500 0.500 0.000  -0.02
Al2 0.000 0.000 0.000  -0.01
Al3 0.500 0.000 0.637  -0.01
Al4 0.000 0.500 0.363  -0.01
Ga1 0.500 0.500 0.500  -0.03
Au1 0.000 0.000 0.500  0.00
Au2 0.500 0.000 0.868  -0.01
Au3 0.000 0.500 0.132  -0.01


What did the first record say?
Here is an optimized crystal structure of LiTiTe2 from Alexandria via LeMat-Bulk. Energies are from PBE.

Values from the calculation:
The uncorrected formation energy is -0.608 eV/atom. Its space group is No. 122.

Unit cell a=6.454 b=6.454 c=7.682 alpha=65.16 beta=65.16 gamma=90.00
Last column: magnetic moment on the atom in μB.
Atoms (fractional coordinates):
Te1 0.641 0.125 0.250  -0.06
Te2 0.109 0.625 0.250  -0.05
Te3 0.375 0.359 0.750  -0.06
Te4 0.875 0.891 0.750  -0.06
Li1 0.500 0.500 0.000  0.00
Li2 0.250 0.750 0.500  0.00
Ti1 0.000 0.000 0.000  0.98
Ti2 0.750 0.250 0.500  0.98